## HfAsW (GGA-PBE)

Data for crystalline HfAsW at its relaxed geometry.

## Properties
SG   No. 216
DFT total energy   -0.6554 Ry per atom

Lattice parameters (Å, degrees): 4.3312 4.3312 4.3312 60.00 60.00 60.00
Fractional positions:
Hf1 0.2500 0.2500 0.2500
W1 0.7500 0.7500 0.7500
As1 0.0000 0.0000 0.0000